DFT (GGA-PBE) results for a geometry-optimized Li2Ce2ThPb2 structure.

Cell: 4.6337 4.6337 9.9096 Å, 76.48 76.48 60.00°
Each line ends with the local moment (μB).
Atoms (fractional coordinates):
Li: 0.5851 0.5851 0.2447  0.00
Li: 0.4149 0.4149 0.7553  0.00
Ce: 0.1453 0.1453 0.5640  0.95
Ce: 0.8547 0.8547 0.4360  0.95
Th: 0.0000 0.0000 0.0000  0.04
Pb: 0.7352 0.7352 0.7943  0.00
Pb: 0.2648 0.2648 0.2057  0.00

Computed properties:
Space-group type: R-3m
Crystal system: trigonal
Formation energy from the elements in eV/f.u.: -1.48
N(E_F) in states/eV per atom: 1.601